VASP calculation (GGA+U) on crystalline Mg2TeWO6 at its relaxed geometry.

Cell: 5.593 5.626 5.928 Å, 112.61 90.05 107.30°
Fractional positions:
W  0.043  0.027  0.006
O  0.403  0.288  0.077
O  0.803  0.861  0.177
O  0.238  0.821  0.066
Te  0.346  0.399  0.802
O  0.380  0.082  0.529
Mg  0.584  0.105  0.254
Mg  0.036  0.743  0.348
O  0.929  0.334  0.192
O  0.911  0.811  0.686

Values from the calculation:
VASP energy: -6.184 eV per atom
theoretical density: 4.65 g/cm3
polymorph energy (0 for the lowest one): 16 meV/atom
N(E_F): 0.00 states/eV per cell

=====

VASP calculation (GGA+U) on crystalline Mg2TeWO6 at its relaxed geometry.

Cell: 5.237 5.116 10.420 Å, 65.16 90.00 90.00°
Fractional positions:
Mg  0.037  0.237  0.248
O  0.691  0.546  0.601
O  0.389  0.170  0.166
Mg  0.963  0.763  0.752
O  0.309  0.454  0.399
O  0.809  0.546  0.101
O  0.167  0.731  0.585
O  0.191  0.454  0.899
O  0.111  0.170  0.666
W  0.000  0.500  0.500
O  0.611  0.830  0.834
Mg  0.463  0.237  0.748
O  0.889  0.830  0.334
O  0.333  0.731  0.085
W  0.500  0.500  0.000
O  0.833  0.269  0.415
Te  0.000  0.000  0.000
O  0.667  0.269  0.915
Mg  0.537  0.763  0.252
Te  0.500  0.000  0.500

Values from the calculation:
VASP energy: -6.200 eV per atom
theoretical density: 5.98 g/cm3
polymorph energy (0 for the lowest one): 0 meV/atom